Here is an optimized crystal structure of CeAg2Br6 from the Alexandria database. Energies are from GGA-PBE.

```
CeAg2Br6
1.0
-1.994 2.003 6.379
3.169 -5.288 2.651
10.189 6.669 1.125
Ce Ag Br
2 4 12
direct
0.500 0.500 0.000
0.000 0.000 0.500
0.999 0.497 0.833
0.501 0.997 0.667
0.499 0.003 0.333
0.001 0.503 0.167
0.835 0.759 0.336
0.836 0.755 0.663
0.827 0.747 0.999
0.673 0.247 0.501
0.664 0.255 0.837
0.665 0.259 0.164
0.165 0.241 0.664
0.164 0.245 0.337
0.173 0.253 0.001
0.327 0.753 0.499
0.336 0.745 0.163
0.335 0.741 0.836
```

Energy relative to the elements, uncorrected, kJ per mole of atoms: -98.4
Magnetization, μB per formula unit: 0.1
Density, Mg/m³: 4.8
Uncorrected energy, eV/atom: -3.43

---

Here is an optimized crystal structure of CeAgBr4 from the Alexandria database. Energies are from GGA-PBE.

```
CeAgBr4
1.0
-0.094 -4.317 -0.342
3.061 -0.580 6.487
-12.148 -0.254 6.538
Ce Ag Br
2 2 8
direct
0.000 0.000 0.500
0.500 0.500 0.000
0.500 0.500 0.500
0.000 0.000 0.000
0.500 0.155 0.374
0.000 0.345 0.126
0.500 0.845 0.626
0.000 0.655 0.874
0.999 0.670 0.390
0.499 0.830 0.110
0.001 0.330 0.610
0.501 0.170 0.890
```

Energy relative to the elements, uncorrected, kJ per mole of atoms: -124.5
Magnetization, μB per formula unit: 1.0
Density, Mg/m³: 4.4
Uncorrected energy, eV/atom: -3.87

---

Here is an optimized crystal structure of CeAg3Br8 from the Alexandria database. Energies are from GGA-PBE.

```
CeAg3Br8
1.0
-8.035 -0.549 1.271
2.805 3.166 -7.054
0.769 -8.072 1.379
Ce Ag Br
1 3 8
direct
0.000 0.000 0.000
0.500 0.000 0.000
0.500 0.500 0.000
0.000 0.500 0.000
0.271 0.543 0.809
0.729 0.457 0.191
0.235 0.992 0.749
0.757 0.992 0.749
0.760 0.519 0.756
0.240 0.481 0.244
0.243 0.008 0.251
0.765 0.008 0.251
```

Energy relative to the elements, uncorrected, kJ per mole of atoms: -78.3
Magnetization, μB per formula unit: 0.0
Density, Mg/m³: 4.6
Uncorrected energy, eV/atom: -3.13